Record 1
# NbSn, relaxed, DFT GGA-PBE
# DFT total energy	-6.366	eV/atom
# ΔH_f (0 K)	670	meV per atom
data_NbSn
_chemical_formula_sum 'Nb2 Sn2'
_space_group_name_H-M_alt 'P 63/m m c'
_space_group_IT_number 194
_space_group_name_Hall '-P 6c 2c'
_cell_length_a 4.8274
_cell_length_b 4.8274
_cell_length_c 5.5109
_cell_angle_alpha 90.00
_cell_angle_beta 90.00
_cell_angle_gamma 120.00
loop_
_atom_site_label
_atom_site_fract_x
_atom_site_fract_y
_atom_site_fract_z
Nb1 0.3333 0.6667 0.2500
Sn1 0.3333 0.6667 0.7500

=====

Record 2
# Nb3Sn2, relaxed, DFT GGA-PBE
# DFT total energy	-7.527	eV/atom
# ΔH_f (0 K)	115	meV per atom
data_Nb3Sn2
_chemical_formula_sum 'Nb12 Sn8'
_space_group_name_H-M_alt 'I 41/a m d'
_space_group_IT_number 141
_cell_length_a 5.322
_cell_length_b 5.322
_cell_length_c 14.413
_cell_angle_alpha 90.00
_cell_angle_beta 90.00
_cell_angle_gamma 90.00
loop_
_space_group_symop_operation_xyz
'x,y,z'
'-x,-y,-z'
'-y+1/4,x+3/4,z+1/4'
'y+1/4,-x+3/4,-z+1/4'
'-x+1/2,-y,z+1/2'
'x+1/2,y,-z+1/2'
'y+1/4,-x+1/4,z+3/4'
'-y+1/4,x+1/4,-z+3/4'
'x,-y,-z'
'-x,y,z'
'-y+1/4,-x+1/4,-z+3/4'
'y+1/4,x+1/4,z+3/4'
'-x+1/2,y,-z+1/2'
'x+1/2,-y,z+1/2'
'y+1/4,x+3/4,-z+1/4'
'-y+1/4,-x+3/4,z+1/4'
'x+1/2,y+1/2,z+1/2'
'-x+1/2,-y+1/2,-z+1/2'
'-y+3/4,x+1/4,z+3/4'
'y+3/4,-x+1/4,-z+3/4'
'-x,-y+1/2,z'
'x,y+1/2,-z'
'y+3/4,-x+3/4,z+1/4'
'-y+3/4,x+3/4,-z+1/4'
'x+1/2,-y+1/2,-z+1/2'
'-x+1/2,y+1/2,z+1/2'
'-y+3/4,-x+3/4,-z+1/4'
'y+3/4,x+3/4,z+1/4'
'-x,y+1/2,-z'
'x,-y+1/2,z'
'y+3/4,x+1/4,-z+3/4'
'-y+3/4,-x+1/4,z+3/4'
loop_
_atom_site_label
_atom_site_fract_x
_atom_site_fract_y
_atom_site_fract_z
Nb1 0.000 0.000 0.000
Nb2 0.000 0.250 0.375
Sn1 0.000 0.250 0.181

=====

Record 3
# Nb2Sn, relaxed, DFT GGA-PBE
# DFT total energy	-8.121	eV/atom
# ΔH_f (0 K)	-74	meV per atom
data_Nb2Sn
_chemical_formula_sum 'Nb8 Sn4'
_space_group_name_H-M_alt 'I m m m'
_space_group_IT_number 71
_space_group_name_Hall '-I 2 2'
_cell_length_a 3.724
_cell_length_b 4.397
_cell_length_c 14.727
_cell_angle_alpha 90.00
_cell_angle_beta 90.00
_cell_angle_gamma 90.00
loop_
_atom_site_label
_atom_site_fract_x
_atom_site_fract_y
_atom_site_fract_z
Nb1 0.000 0.000 0.000
Nb2 0.000 0.000 0.500
Nb3 0.000 0.500 0.157
Sn1 0.000 0.500 0.351

=====

Record 4
# NbSn2, relaxed, DFT GGA-PBE
# DFT total energy	-5.973	eV/atom
# ΔH_f (0 K)	52	meV per atom
data_NbSn2
_chemical_formula_sum 'Nb2 Sn4'
_space_group_name_H-M_alt 'C 1 2/m 1'
_space_group_IT_number 12
_cell_length_a 6.204
_cell_length_b 3.157
_cell_length_c 7.500
_cell_angle_alpha 90.00
_cell_angle_beta 108.52
_cell_angle_gamma 90.00
loop_
_space_group_symop_operation_xyz
'x,y,z'
'-x,-y,-z'
'-x,y,-z'
'x,-y,z'
'x+1/2,y+1/2,z'
'-x+1/2,-y+1/2,-z'
'-x+1/2,y+1/2,-z'
'x+1/2,-y+1/2,z'
loop_
_atom_site_label
_atom_site_fract_x
_atom_site_fract_y
_atom_site_fract_z
Nb1 0.000 0.000 0.000
Sn1 0.070 0.500 0.701

=====

Record 5
# NbSn, relaxed, DFT GGA-PBE
# DFT total energy	-6.144	eV/atom
# ΔH_f (0 K)	892	meV per atom
data_NbSn
_chemical_formula_sum 'Nb8 Sn8'
_space_group_name_H-M_alt 'I -4 3 m'
_space_group_IT_number 217
_space_group_name_Hall 'I -4 2 3'
_cell_length_a 8.595
_cell_length_b 8.595
_cell_length_c 8.595
_cell_angle_alpha 90.00
_cell_angle_beta 90.00
_cell_angle_gamma 90.00
loop_
_atom_site_label
_atom_site_fract_x
_atom_site_fract_y
_atom_site_fract_z
Nb1 0.112 0.112 0.112
Sn1 0.201 0.201 0.799

=====

Record 6
# Nb4Sn, relaxed, DFT GGA-PBE
# DFT total energy	-8.894	eV/atom
# energy relative to the lowest polymorph listed for this composition	0	meV per atom
# ΔH_f (0 K)	-38	meV per atom
data_Nb4Sn
_chemical_formula_sum 'Nb4 Sn1'
_space_group_name_H-M_alt 'P -1'
_space_group_IT_number 2
_cell_length_a 2.923
_cell_length_b 4.675
_cell_length_c 7.363
_cell_angle_alpha 108.43
_cell_angle_beta 95.77
_cell_angle_gamma 90.01
loop_
_space_group_symop_operation_xyz
'x,y,z'
'-x,-y,-z'
loop_
_atom_site_label
_atom_site_fract_x
_atom_site_fract_y
_atom_site_fract_z
Nb1 0.063 0.396 0.293
Nb2 0.316 0.205 0.910
Sn1 0.500 0.000 0.500

=====

Record 7
# NbSn, relaxed, DFT GGA-PBE
# DFT total energy	-6.968	eV/atom
# ΔH_f (0 K)	68	meV per atom
data_NbSn
_chemical_formula_sum 'Nb8 Sn8'
_space_group_name_H-M_alt 'P 21 21 21'
_space_group_IT_number 19
_cell_length_a 5.399
_cell_length_b 5.910
_cell_length_c 10.265
_cell_angle_alpha 90.00
_cell_angle_beta 90.00
_cell_angle_gamma 90.00
loop_
_space_group_symop_operation_xyz
'x,y,z'
'-x+1/2,-y,z+1/2'
'x+1/2,-y+1/2,-z'
'-x,y+1/2,-z+1/2'
loop_
_atom_site_label
_atom_site_fract_x
_atom_site_fract_y
_atom_site_fract_z
Nb1 0.159 0.249 0.116
Nb2 0.164 0.494 0.872
Sn1 0.138 0.749 0.129
Sn2 0.140 0.005 0.869

=====

Record 8
# NbSn2, relaxed, DFT GGA-PBE
# DFT total energy	-6.087	eV/atom
# ΔH_f (0 K)	-62	meV per atom
data_NbSn2
_chemical_formula_sum 'Nb8 Sn16'
_space_group_name_H-M_alt 'F d d d'
_space_group_IT_number 70
_cell_length_a 5.465
_cell_length_b 9.414
_cell_length_c 9.849
_cell_angle_alpha 90.00
_cell_angle_beta 90.00
_cell_angle_gamma 90.00
loop_
_space_group_symop_operation_xyz
'x,y,z'
'-x,-y,-z'
'-x+1/4,-y+1/4,z'
'x+1/4,y+1/4,-z'
'x,-y+1/4,-z+1/4'
'-x,y+1/4,z+1/4'
'-x+1/4,y,-z+1/4'
'x+1/4,-y,z+1/4'
'x,y+1/2,z+1/2'
'-x,-y+1/2,-z+1/2'
'-x+1/4,-y+3/4,z+1/2'
'x+1/4,y+3/4,-z+1/2'
'x,-y+3/4,-z+3/4'
'-x,y+3/4,z+3/4'
'-x+1/4,y+1/2,-z+3/4'
'x+1/4,-y+1/2,z+3/4'
'x+1/2,y,z+1/2'
'-x+1/2,-y,-z+1/2'
'-x+3/4,-y+1/4,z+1/2'
'x+3/4,y+1/4,-z+1/2'
'x+1/2,-y+1/4,-z+3/4'
'-x+1/2,y+1/4,z+3/4'
'-x+3/4,y,-z+3/4'
'x+3/4,-y,z+3/4'
'x+1/2,y+1/2,z'
'-x+1/2,-y+1/2,-z'
'-x+3/4,-y+3/4,z'
'x+3/4,y+3/4,-z'
'x+1/2,-y+3/4,-z+1/4'
'-x+1/2,y+3/4,z+1/4'
'-x+3/4,y+1/2,-z+1/4'
'x+3/4,-y+1/2,z+1/4'
loop_
_atom_site_label
_atom_site_fract_x
_atom_site_fract_y
_atom_site_fract_z
Nb1 0.125 0.125 0.125
Sn1 0.125 0.294 0.625

=====

Record 9
# Nb3Sn2, relaxed, DFT GGA-PBE
# DFT total energy	-7.666	eV/atom
# ΔH_f (0 K)	-23	meV per atom
data_Nb3Sn2
_chemical_formula_sum 'Nb12 Sn8'
_space_group_name_H-M_alt 'P n m a'
_space_group_IT_number 62
_cell_length_a 11.262
_cell_length_b 3.622
_cell_length_c 10.212
_cell_angle_alpha 90.00
_cell_angle_beta 90.00
_cell_angle_gamma 90.00
loop_
_space_group_symop_operation_xyz
'x,y,z'
'-x,-y,-z'
'-x+1/2,-y,z+1/2'
'x+1/2,y,-z+1/2'
'x+1/2,-y+1/2,-z+1/2'
'-x+1/2,y+1/2,z+1/2'
'-x,y+1/2,-z'
'x,-y+1/2,z'
loop_
_atom_site_label
_atom_site_fract_x
_atom_site_fract_y
_atom_site_fract_z
Nb1 0.029 0.250 0.103
Nb2 0.114 0.750 0.593
Nb3 0.182 0.250 0.787
Sn1 0.064 0.750 0.319
Sn2 0.210 0.750 0.005

=====

Record 10
# NbSn, relaxed, DFT GGA-PBE
# DFT total energy	-6.679	eV/atom
# ΔH_f (0 K)	357	meV per atom
data_NbSn
_chemical_formula_sum 'Nb16 Sn16'
_space_group_name_H-M_alt 'F d d d'
_space_group_IT_number 70
_cell_length_a 4.987
_cell_length_b 8.853
_cell_length_c 15.940
_cell_angle_alpha 90.00
_cell_angle_beta 90.00
_cell_angle_gamma 90.00
loop_
_space_group_symop_operation_xyz
'x,y,z'
'-x,-y,-z'
'-x+1/4,-y+1/4,z'
'x+1/4,y+1/4,-z'
'x,-y+1/4,-z+1/4'
'-x,y+1/4,z+1/4'
'-x+1/4,y,-z+1/4'
'x+1/4,-y,z+1/4'
'x,y+1/2,z+1/2'
'-x,-y+1/2,-z+1/2'
'-x+1/4,-y+3/4,z+1/2'
'x+1/4,y+3/4,-z+1/2'
'x,-y+3/4,-z+3/4'
'-x,y+3/4,z+3/4'
'-x+1/4,y+1/2,-z+3/4'
'x+1/4,-y+1/2,z+3/4'
'x+1/2,y,z+1/2'
'-x+1/2,-y,-z+1/2'
'-x+3/4,-y+1/4,z+1/2'
'x+3/4,y+1/4,-z+1/2'
'x+1/2,-y+1/4,-z+3/4'
'-x+1/2,y+1/4,z+3/4'
'-x+3/4,y,-z+3/4'
'x+3/4,-y,z+3/4'
'x+1/2,y+1/2,z'
'-x+1/2,-y+1/2,-z'
'-x+3/4,-y+3/4,z'
'x+3/4,y+3/4,-z'
'x+1/2,-y+3/4,-z+1/4'
'-x+1/2,y+3/4,z+1/4'
'-x+3/4,y+1/2,-z+1/4'
'x+3/4,-y+1/2,z+1/4'
loop_
_atom_site_label
_atom_site_fract_x
_atom_site_fract_y
_atom_site_fract_z
Nb1 0.125 0.125 0.043
Sn1 0.125 0.289 0.625

=====

Record 11
# NbSn, relaxed, DFT GGA-PBE
# DFT total energy	-6.996	eV/atom
# ΔH_f (0 K)	41	meV per atom
data_NbSn
_chemical_formula_sum 'Nb8 Sn8'
_space_group_name_H-M_alt 'I 4/m'
_space_group_IT_number 87
_space_group_name_Hall '-I 4'
_cell_length_a 9.973
_cell_length_b 9.973
_cell_length_c 3.506
_cell_angle_alpha 90.00
_cell_angle_beta 90.00
_cell_angle_gamma 90.00
loop_
_atom_site_label
_atom_site_fract_x
_atom_site_fract_y
_atom_site_fract_z
Nb1 0.006 0.662 0.000
Sn1 0.155 0.162 0.500

=====

Record 12
# NbSn, relaxed, DFT GGA-PBE
# DFT total energy	-5.706	eV/atom
# ΔH_f (0 K)	1331	meV per atom
data_NbSn
_chemical_formula_sum 'Nb4 Sn4'
_space_group_name_H-M_alt 'F -4 3 m'
_space_group_IT_number 216
_space_group_name_Hall 'F -4 2 3'
_cell_length_a 6.331
_cell_length_b 6.331
_cell_length_c 6.331
_cell_angle_alpha 90.00
_cell_angle_beta 90.00
_cell_angle_gamma 90.00
loop_
_atom_site_label
_atom_site_fract_x
_atom_site_fract_y
_atom_site_fract_z
Nb1 0.000 0.000 0.000
Sn1 0.250 0.250 0.750

=====

Record 13
# Nb4Sn, relaxed, DFT GGA-PBE
# DFT total energy	-8.672	eV/atom
# energy relative to the lowest polymorph listed for this composition	222	meV per atom
# ΔH_f (0 K)	184	meV per atom
data_Nb4Sn
_chemical_formula_sum 'Nb8 Sn2'
_space_group_name_H-M_alt 'P 1 2/c 1'
_space_group_IT_number 13
_cell_length_a 5.466
_cell_length_b 7.393
_cell_length_c 5.445
_cell_angle_alpha 90.00
_cell_angle_beta 115.76
_cell_angle_gamma 90.00
loop_
_space_group_symop_operation_xyz
'x,y,z'
'-x,-y,-z'
'-x,y,-z+1/2'
'x,-y,z+1/2'
loop_
_atom_site_label
_atom_site_fract_x
_atom_site_fract_y
_atom_site_fract_z
Nb1 0.131 0.157 0.063
Nb2 0.250 0.489 0.304
Sn1 0.500 0.163 0.750

=====

Record 14
# NbSn, relaxed, DFT GGA-PBE
# DFT total energy	-6.654	eV/atom
# ΔH_f (0 K)	382	meV per atom
data_NbSn
_chemical_formula_sum 'Nb4 Sn4'
_space_group_name_H-M_alt 'F m -3 m'
_space_group_IT_number 225
_space_group_name_Hall '-F 4 2 3'
_cell_length_a 5.643
_cell_length_b 5.643
_cell_length_c 5.643
_cell_angle_alpha 90.00
_cell_angle_beta 90.00
_cell_angle_gamma 90.00
loop_
_atom_site_label
_atom_site_fract_x
_atom_site_fract_y
_atom_site_fract_z
Nb1 0.000 0.000 0.000
Sn1 0.000 0.000 0.500

=====

Record 15
# NbSn2, relaxed, DFT GGA-PBE
# DFT total energy	-6.008	eV/atom
# ΔH_f (0 K)	17	meV per atom
data_NbSn2
_chemical_formula_sum 'Nb1 Sn2'
_space_group_name_H-M_alt 'P m m m'
_space_group_IT_number 47
_cell_length_a 3.100
_cell_length_b 3.487
_cell_length_c 6.546
_cell_angle_alpha 90.00
_cell_angle_beta 90.00
_cell_angle_gamma 90.00
loop_
_space_group_symop_operation_xyz
'x,y,z'
'-x,-y,-z'
'-x,-y,z'
'x,y,-z'
'x,-y,-z'
'-x,y,z'
'-x,y,-z'
'x,-y,z'
loop_
_atom_site_label
_atom_site_fract_x
_atom_site_fract_y
_atom_site_fract_z
Nb1 0.000 0.000 0.000
Sn1 0.500 0.500 0.280

=====

Record 16
# NbSn2, relaxed, DFT GGA-PBE
# DFT total energy	-5.929	eV/atom
# ΔH_f (0 K)	96	meV per atom
data_NbSn2
_chemical_formula_sum 'Nb2 Sn4'
_space_group_name_H-M_alt 'I 4/m m m'
_space_group_IT_number 139
_space_group_name_Hall '-I 4 2'
_cell_length_a 3.041
_cell_length_b 3.041
_cell_length_c 15.082
_cell_angle_alpha 90.00
_cell_angle_beta 90.00
_cell_angle_gamma 90.00
loop_
_atom_site_label
_atom_site_fract_x
_atom_site_fract_y
_atom_site_fract_z
Nb1 0.000 0.000 0.000
Sn1 0.000 0.000 0.352

=====

Record 17
# Sr2NbSn2, relaxed, DFT GGA-PBE
# DFT total energy	-3.802	eV/atom
# energy relative to the lowest polymorph listed for this composition	621	meV per atom
# ΔH_f (0 K)	486	meV per atom
data_Sr2NbSn2
_chemical_formula_sum 'Sr4 Nb2 Sn4'
_space_group_name_H-M_alt 'I 4/m m m'
_space_group_IT_number 139
_space_group_name_Hall '-I 4 2'
_cell_length_a 4.346
_cell_length_b 4.346
_cell_length_c 14.947
_cell_angle_alpha 90.00
_cell_angle_beta 90.00
_cell_angle_gamma 90.00
loop_
_atom_site_label
_atom_site_fract_x
_atom_site_fract_y
_atom_site_fract_z
Sr1 0.000 0.500 0.250
Nb1 0.000 0.000 0.000
Sn1 0.000 0.000 0.410

=====

Record 18
# Sr2NbSn, relaxed, DFT GGA-PBE
# DFT total energy	-3.720	eV/atom
# ΔH_f (0 K)	639	meV per atom
data_Sr2NbSn
_chemical_formula_sum 'Sr8 Nb4 Sn4'
_space_group_name_H-M_alt 'I -4 2 d'
_space_group_IT_number 122
_space_group_name_Hall 'I -4 2bw'
_cell_length_a 9.001
_cell_length_b 9.001
_cell_length_c 6.269
_cell_angle_alpha 90.00
_cell_angle_beta 90.00
_cell_angle_gamma 90.00
loop_
_atom_site_label
_atom_site_fract_x
_atom_site_fract_y
_atom_site_fract_z
Sr1 0.249 0.250 0.125
Nb1 0.000 0.000 0.000
Sn1 0.000 0.000 0.500

=====

Record 19
# Sr3NbSn, relaxed, DFT GGA-PBE
# DFT total energy	-3.124	eV/atom
# energy relative to the lowest polymorph listed for this composition	0	meV per atom
# ΔH_f (0 K)	699	meV per atom
data_Sr3NbSn
_chemical_formula_sum 'Sr3 Nb1 Sn1'
_space_group_name_H-M_alt 'P m -3 m'
_space_group_IT_number 221
_space_group_name_Hall '-P 4 2 3'
_cell_length_a 6.264
_cell_length_b 6.264
_cell_length_c 6.264
_cell_angle_alpha 90.00
_cell_angle_beta 90.00
_cell_angle_gamma 90.00
loop_
_atom_site_label
_atom_site_fract_x
_atom_site_fract_y
_atom_site_fract_z
Sr1 0.000 0.000 0.500
Nb1 0.500 0.500 0.500
Sn1 0.000 0.000 0.000

=====

Record 20
# Sr3NbSn, relaxed, DFT GGA-PBE
# DFT total energy	-3.021	eV/atom
# energy relative to the lowest polymorph listed for this composition	103	meV per atom
# ΔH_f (0 K)	803	meV per atom
data_Sr3NbSn
_chemical_formula_sum 'Sr3 Nb1 Sn1'
_space_group_name_H-M_alt 'P m -3 m'
_space_group_IT_number 221
_space_group_name_Hall '-P 4 2 3'
_cell_length_a 5.809
_cell_length_b 5.809
_cell_length_c 5.809
_cell_angle_alpha 90.00
_cell_angle_beta 90.00
_cell_angle_gamma 90.00
loop_
_atom_site_label
_atom_site_fract_x
_atom_site_fract_y
_atom_site_fract_z
Sr1 0.000 0.000 0.500
Nb1 0.000 0.000 0.000
Sn1 0.500 0.500 0.500

=====

Record 21
# Sr2NbSn2, relaxed, DFT GGA-PBE
# DFT total energy	-4.423	eV/atom
# energy relative to the lowest polymorph listed for this composition	0	meV per atom
# ΔH_f (0 K)	-135	meV per atom
data_Sr2NbSn2
_chemical_formula_sum 'Sr4 Nb2 Sn4'
_space_group_name_H-M_alt 'P 4/m b m'
_space_group_IT_number 127
_space_group_name_Hall '-P 4 2ab'
_cell_length_a 7.773
_cell_length_b 7.773
_cell_length_c 5.125
_cell_angle_alpha 90.00
_cell_angle_beta 90.00
_cell_angle_gamma 90.00
loop_
_atom_site_label
_atom_site_fract_x
_atom_site_fract_y
_atom_site_fract_z
Sr1 0.171 0.329 0.000
Nb1 0.000 0.000 0.500
Sn1 0.139 0.639 0.500

=====

Record 22
# SrNbSn2, relaxed, DFT GGA-PBE
# DFT total energy	-4.675	eV/atom
# ΔH_f (0 K)	264	meV per atom
data_SrNbSn2
_chemical_formula_sum 'Sr4 Nb4 Sn8'
_space_group_name_H-M_alt 'I -4 2 d'
_space_group_IT_number 122
_space_group_name_Hall 'I -4 2bw'
_cell_length_a 5.640
_cell_length_b 5.640
_cell_length_c 18.356
_cell_angle_alpha 90.00
_cell_angle_beta 90.00
_cell_angle_gamma 90.00
loop_
_atom_site_label
_atom_site_fract_x
_atom_site_fract_y
_atom_site_fract_z
Sr1 0.000 0.000 0.000
Nb1 0.000 0.000 0.500
Sn1 0.094 0.250 0.625

=====

Record 23
# SrTa2NbSn, relaxed, DFT GGA-PBE
# DFT total energy	-6.558	eV/atom
# ΔH_f (0 K)	1334	meV per atom
data_SrTa2NbSn
_chemical_formula_sum 'Sr1 Ta2 Nb1 Sn1'
_space_group_name_H-M_alt 'P 4/m m m'
_space_group_IT_number 123
_space_group_name_Hall '-P 4 2'
_cell_length_a 4.919
_cell_length_b 4.919
_cell_length_c 5.855
_cell_angle_alpha 90.00
_cell_angle_beta 90.00
_cell_angle_gamma 90.00
loop_
_atom_site_label
_atom_site_fract_x
_atom_site_fract_y
_atom_site_fract_z
Sr1 0.000 0.000 0.000
Ta1 0.000 0.500 0.500
Nb1 0.000 0.000 0.500
Sn1 0.500 0.500 0.000